1.
Here is a relaxed Ac2Pr3Mg crystal from Alexandria via LeMat-Bulk. Energies are from GGA-PBE.

Lattice parameters (Å, degrees): 5.977 18.563 4.001 90.00 90.00 90.00
Space group Cmmm (No. 65)
Symmetry-distinct sites (fractional):
Ac: 0.000 0.177 0.000 x4
Pr: 0.000 0.000 0.500 x2
Pr: 0.000 0.357 0.500 x4
Mg: 0.000 0.500 0.000 x2

Calculated values
Energy of formation from the pure elements: 0.04 eV per formula unit
Crystal system: orthorhombic

=====

2.
Here is a relaxed Ac5Pr2Mg crystal from Alexandria via LeMat-Bulk. Energies are from GGA-PBE.

Lattice parameters (Å, degrees): 3.784 12.032 14.281 90.00 90.00 90.00
Space group Immm (No. 71)
Symmetry-distinct sites (fractional):
Ac: 0.000 0.000 0.000 x2
Ac: 0.000 0.262 0.369 x8
Pr: 0.000 0.000 0.262 x4
Mg: 0.000 0.500 0.000 x2

Calculated values
Energy of formation from the pure elements: 0.67 eV per formula unit
Crystal system: orthorhombic

=====

3.
Here is a relaxed AcPr14Mg crystal from Alexandria via LeMat-Bulk. Energies are from GGA-PBE.

Lattice parameters (Å, degrees): 7.382 7.382 10.507 90.00 90.00 90.00
Space group P4/mmm (No. 123)
Symmetry-distinct sites (fractional):
Ac: 0.000 0.000 0.000 x1
Pr: 0.000 0.000 0.500 x1
Pr: 0.000 0.500 0.000 x2
Pr: 0.000 0.500 0.500 x2
Pr: 0.254 0.254 0.249 x8
Pr: 0.500 0.500 0.500 x1
Mg: 0.500 0.500 0.000 x1

Calculated values
Energy of formation from the pure elements: 0.08 eV per formula unit
Crystal system: tetragonal

=====

Sequential size of the total moment output: 0.00; 0.00; 0.00 μB/atom